# 1
The following is a DFT calculation (PBE) of an optimized crystal structure of YCdSb2I.

Summary:
The value obtained for the formation energy without anion corrections is 0.061 eV/atom. The value obtained for the density of states at the Fermi level is 1.02 states/eV/atom. Its calculated density is 4.56 Mg/m³. The energy above the most stable polymorph in this dataset is 0 meV per atom. As for the uncorrected energy: -3.374 eV/atom.

Cell lengths 5.9272, 5.9272, 5.9296 Å; angles 90.00, 90.00, 90.00 degrees
Space group P4/mmm (No. 123)
Asymmetric unit:
Y 0.0000 0.0000 0.0000 x1
Cd 0.5000 0.5000 0.5000 x1
Sb 0.0000 0.5000 0.0000 x2
I 0.0000 0.0000 0.5000 x1

# 2
The following is a DFT calculation (PBE) of an optimized crystal structure of AuI2Br.

Summary:
The value obtained for the formation energy without anion corrections is -0.019 eV/atom. Its calculated density is 4.89 Mg/m³. The energy above the most stable polymorph in this dataset is 6 meV per atom. As for the uncorrected energy: -2.032 eV/atom.

Cell lengths 5.1345, 8.0117, 9.2396 Å; angles 93.90, 105.44, 98.22 degrees
Space group P1 (No. 1)
Asymmetric unit:
Au 0.0000 0.0000 0.0000 x1
Au 0.3939 0.5317 0.3597 x1
I 0.2377 0.7998 0.4567 x1
I 0.2677 0.2640 0.9154 x1
I 0.5546 0.2659 0.2634 x1
I 0.7883 0.7647 0.1340 x1
Br 0.0365 0.2635 0.6259 x1
Br 0.5922 0.8531 0.7358 x1

# 3
The following is a DFT calculation (PBE) of an optimized crystal structure of PaZnCo2H8.

Summary:
The value obtained for the density of states at the Fermi level is 0.43 states/eV/atom. Its calculated density is 7.47 Mg/m³. As for the uncorrected energy: -4.317 eV/atom.

Cell lengths 4.1588, 4.1588, 6.2696 Å; angles 90.00, 90.00, 120.00 degrees
Space group P-3 (No. 147)
Asymmetric unit:
Pa 0.0000 0.0000 0.0000 x1
Zn 0.0000 0.0000 0.5000 x1
Co 0.3333 0.6667 0.7202 x2
H 0.0624 0.7061 0.2934 x6
H 0.3333 0.6667 0.9749 x2

# 4
The following is a DFT calculation (PBE) of an optimized crystal structure of TbHo3Cu3.

Summary:
The value obtained for the density of states at the Fermi level is 0.87 states/eV/atom. Its calculated density is 8.62 Mg/m³. The calculation puts the calculated formation energy at -0.145 eV/atom. As for the uncorrected energy: -4.524 eV/atom.

Cell lengths 9.8852, 9.9508, 6.8529 Å; angles 90.00, 105.22, 90.00 degrees
Space group C2/m (No. 12)
Asymmetric unit:
Tb 0.2409 0.0000 0.4739 x4
Ho 0.0000 0.2396 0.5000 x4
Ho 0.0000 0.3203 0.0000 x4
Ho 0.1610 0.0000 0.9298 x4
Cu 0.0496 0.5000 0.7043 x4
Cu 0.2362 0.2795 0.8055 x8

Copy entry 1 word for word.
The following is a DFT calculation (PBE) of an optimized crystal structure of YCdSb2I.

Summary:
The value obtained for the formation energy without anion corrections is 0.061 eV/atom. The value obtained for the density of states at the Fermi level is 1.02 states/eV/atom. Its calculated density is 4.56 Mg/m³. The energy above the most stable polymorph in this dataset is 0 meV per atom. As for the uncorrected energy: -3.374 eV/atom.

Cell lengths 5.9272, 5.9272, 5.9296 Å; angles 90.00, 90.00, 90.00 degrees
Space group P4/mmm (No. 123)
Asymmetric unit:
Y 0.0000 0.0000 0.0000 x1
Cd 0.5000 0.5000 0.5000 x1
Sb 0.0000 0.5000 0.0000 x2
I 0.0000 0.0000 0.5000 x1

Look up the uncorrected energy of the third one.
-4.317 eV/atom